The following is a DFT calculation (PBE) of an optimized crystal structure of MnAg2Se2.

Unit cell a=7.3906 b=7.3906 c=3.6947 alpha=90.00 beta=90.00 gamma=90.00
Closest atoms and distances in Å follow each position.
Fractional coordinates of all 10 atoms:
Mn1 0.0000 0.0000 0.0000  4 Ag 2.89
Mn2 0.5000 0.5000 0.0000  4 Ag 2.89
Ag1 0.1311 0.3689 0.0000  6 Se 2.70-2.98, 1 Ag 2.74, 2 Mn 2.89
Ag2 0.3689 0.8689 0.0000  6 Se 2.70-2.98, 1 Ag 2.74, 2 Mn 2.89
Ag3 0.6311 0.1311 0.0000  6 Se 2.70-2.98, 1 Ag 2.74, 2 Mn 2.89
Ag4 0.8689 0.6311 0.0000  6 Se 2.70-2.98, 1 Ag 2.74, 2 Mn 2.89
Se1 0.1812 0.6812 0.5000  6 Ag 2.70-2.98
Se2 0.3188 0.1812 0.5000  6 Ag 2.70-2.98
Se3 0.6812 0.8188 0.5000  6 Ag 2.70-2.98
Se4 0.8188 0.3188 0.5000  6 Ag 2.70-2.98

Computed properties:
energy above the lowest structure with this stoichiometry: 0 meV per atom

=====

The following is a DFT calculation (PBE) of an optimized crystal structure of MnAgSe.

Unit cell a=5.5134 b=3.1695 c=6.5491 alpha=90.00 beta=106.15 gamma=90.00
Closest atoms and distances in Å follow each position.
Fractional coordinates of all 6 atoms:
Mn1 0.0000 0.0000 0.0000  3 Se 2.33-2.36
Mn2 0.4379 0.5000 0.0087  3 Se 2.36-2.39
Ag1 0.0186 0.5000 0.6538  1 Se 2.76, 3 Mn 2.79
Ag2 0.5330 0.0000 0.6961  1 Se 2.75, 3 Mn 2.75-2.78
Se1 0.3871 0.0000 0.2598  3 Mn 2.33-2.36
Se2 0.8691 0.5000 0.2147  3 Mn 2.36-2.39

Computed properties:
energy above the lowest structure with this stoichiometry: 98 meV per atom

=====

The following is a DFT calculation (PBE) of an optimized crystal structure of MnAgSe.

Unit cell a=6.5595 b=6.5595 c=6.5595 alpha=28.14 beta=28.14 gamma=28.14
Closest atoms and distances in Å follow each position.
Fractional coordinates of all 3 atoms:
Mn1 0.0000 0.0000 0.0000  3 Se 2.37
Ag1 0.5574 0.5574 0.5574  1 Se 2.74, 3 Mn 2.77
Se1 0.4122 0.4122 0.4122  3 Mn 2.37

Computed properties:
energy above the lowest structure with this stoichiometry: 102 meV per atom

=====

The following is a DFT calculation (PBE) of an optimized crystal structure of MnAg8Se6.

Unit cell a=7.9716 b=7.7602 c=10.9532 alpha=90.00 beta=90.00 gamma=90.00
Closest atoms and distances in Å follow each position.
Fractional coordinates of all 30 atoms:
Mn1 0.0000 0.2186 0.0000  4 Se 2.36-2.39
Mn2 0.5000 0.7814 0.5000  4 Se 2.36-2.39
Ag1 0.0000 0.8099 0.9626  2 Se 2.55-2.61
Ag2 0.0000 0.8678 0.5195  4 Se 2.66-2.73
Ag3 0.1892 0.9860 0.7625  3 Se 2.66-2.76
Ag4 0.2000 0.3747 0.3554  4 Se 2.67-2.87
Ag5 0.2440 0.3384 0.6383  3 Se 2.58-2.80
Ag6 0.2560 0.6616 0.1383  3 Se 2.58-2.80
Ag7 0.3000 0.6253 0.8554  4 Se 2.67-2.87
Ag8 0.3108 0.0140 0.2625  3 Se 2.66-2.76
Ag9 0.5000 0.1322 0.0195  4 Se 2.66-2.73
Ag10 0.5000 0.1901 0.4626  2 Se 2.55-2.61
Ag11 0.6892 0.0140 0.2625  3 Se 2.66-2.76
Ag12 0.7000 0.6253 0.8554  4 Se 2.67-2.87
Ag13 0.7440 0.6616 0.1383  3 Se 2.58-2.80
Ag14 0.7560 0.3384 0.6383  3 Se 2.58-2.80
Ag15 0.8000 0.3747 0.3554  4 Se 2.67-2.87
Ag16 0.8108 0.9860 0.7625  3 Se 2.66-2.76
Se1 0.0000 0.0013 0.1522  1 Mn 2.37, 1 Ag 2.55
Se2 0.0000 0.2106 0.5131  5 Ag 2.58-2.67
Se3 0.0000 0.4499 0.1444  1 Mn 2.39, 2 Ag 2.62
Se4 0.0000 0.6980 0.7378  6 Ag 2.61-2.77
Se5 0.2480 0.2714 0.8893  1 Mn 2.36
Se6 0.2520 0.7286 0.3893  1 Mn 2.36
Se7 0.5000 0.3020 0.2378  6 Ag 2.61-2.77
Se8 0.5000 0.5501 0.6444  1 Mn 2.39, 2 Ag 2.62
Se9 0.5000 0.7894 0.0131  5 Ag 2.58-2.67
Se10 0.5000 0.9987 0.6522  1 Mn 2.37, 1 Ag 2.55
Se11 0.7480 0.7286 0.3893  1 Mn 2.36
Se12 0.7520 0.2714 0.8893  1 Mn 2.36

=====

Energy relative to the elements, uncorrected across the listed records, respectively: 210 33 37 -119 meV/atom.
E_tot across the listed records, respectively: -4.1584 -5.1359 -5.1315 -3.6451 eV per atom.